1.
Computed, not measured: a relaxed Mg8AlAg2 crystal at the PBE level of DFT.

distance to the lowest polymorph of the same formula	0.42	eV per formula unit
DOS at the Fermi energy	3.17	states/eV/f.u.

a = 7.604 Å, b = 7.604 Å, c = 5.095 Å
α = 101.75°, β = 101.75°, γ = 117.94°
Fractional positions:
1 Mg 0.090 0.323 0.609
2 Mg 0.220 0.780 0.000
3 Mg 0.323 0.090 0.609
4 Mg 0.391 0.391 0.194
5 Mg 0.609 0.609 0.806
6 Mg 0.677 0.910 0.391
7 Mg 0.780 0.220 0.000
8 Mg 0.910 0.677 0.391
9 Al 0.000 0.000 0.000
10 Ag 0.304 0.696 0.500
11 Ag 0.696 0.304 0.500

***

2.
Computed, not measured: a relaxed Mg4AlAg5 crystal at the PBE level of DFT.

DOS at the Fermi energy	3.70	states/eV/f.u.
energy	-2.636	eV/atom

a = 3.361 Å, b = 3.361 Å, c = 16.039 Å
α = 90.00°, β = 90.00°, γ = 90.00°
Fractional positions:
1 Mg 0.000 0.000 0.101
2 Mg 0.000 0.000 0.303
3 Mg 0.000 0.000 0.697
4 Mg 0.000 0.000 0.899
5 Al 0.000 0.000 0.500
6 Ag 0.500 0.500 0.000
7 Ag 0.500 0.500 0.204
8 Ag 0.500 0.500 0.407
9 Ag 0.500 0.500 0.593
10 Ag 0.500 0.500 0.796

***

3.
Computed, not measured: a relaxed MgAl2Ag crystal at the PBE level of DFT.

DOS at the Fermi energy	1.51	states/eV/f.u.
energy	-2.987	eV/atom

a = 3.019 Å, b = 4.639 Å, c = 5.342 Å
α = 90.00°, β = 99.29°, γ = 90.00°
Fractional positions:
1 Mg 0.000 0.000 0.000
2 Al 0.390 0.500 0.745
3 Al 0.610 0.500 0.255
4 Ag 0.500 0.000 0.500

***

4.
Computed, not measured: a relaxed Mg17Al11Ag crystal at the PBE level of DFT.

DOS at the Fermi energy	10.95	states/eV/f.u.
energy	-2.495	eV/atom

a = 9.092 Å, b = 9.092 Å, c = 9.104 Å
α = 109.47°, β = 109.47°, γ = 109.29°
Fractional positions:
1 Mg 0.000 0.000 0.000
2 Mg 0.000 0.000 0.344
3 Mg 0.000 0.345 0.000
4 Mg 0.001 0.602 0.316
5 Mg 0.002 0.315 0.603
6 Mg 0.286 0.684 0.684
7 Mg 0.315 0.002 0.603
8 Mg 0.316 0.600 0.001
9 Mg 0.345 0.000 0.000
10 Mg 0.399 0.399 0.716
11 Mg 0.400 0.717 0.400
12 Mg 0.600 0.316 0.001
13 Mg 0.602 0.001 0.316
14 Mg 0.655 0.655 0.656
15 Mg 0.684 0.286 0.684
16 Mg 0.686 0.686 0.288
17 Mg 0.717 0.400 0.400
18 Al 0.000 0.634 0.815
19 Al 0.000 0.816 0.635
20 Al 0.181 0.367 0.366
21 Al 0.185 0.819 0.186
22 Al 0.367 0.181 0.366
23 Al 0.369 0.369 0.183
24 Al 0.634 0.000 0.815
25 Al 0.635 0.816 0.002
26 Al 0.816 0.000 0.635
27 Al 0.816 0.635 0.002
28 Al 0.819 0.185 0.186
29 Ag 0.190 0.190 0.823

***

5.
Computed, not measured: a relaxed MgAlAg14 crystal at the PBE level of DFT.

DOS at the Fermi energy	6.95	states/eV/f.u.
energy	-2.844	eV/atom

a = 9.453 Å, b = 5.759 Å, c = 5.759 Å
α = 65.41°, β = 90.00°, γ = 90.00°
Fractional positions:
1 Mg 0.000 0.000 0.000
2 Al 0.000 0.496 0.496
3 Ag 0.000 0.503 0.992
4 Ag 0.000 0.992 0.503
5 Ag 0.244 0.312 0.801
6 Ag 0.244 0.801 0.312
7 Ag 0.247 0.305 0.305
8 Ag 0.253 0.811 0.811
9 Ag 0.500 0.124 0.124
10 Ag 0.500 0.132 0.622
11 Ag 0.500 0.622 0.132
12 Ag 0.500 0.628 0.628
13 Ag 0.747 0.811 0.811
14 Ag 0.753 0.305 0.305
15 Ag 0.756 0.312 0.801
16 Ag 0.756 0.801 0.312

***

6.
Computed, not measured: a relaxed MgAl2Ag crystal at the PBE level of DFT.

DOS at the Fermi energy	1.22	states/eV/f.u.
energy	-2.993	eV/atom

a = 3.256 Å, b = 3.256 Å, c = 6.854 Å
α = 90.00°, β = 90.00°, γ = 90.00°
Fractional positions:
1 Mg 0.000 0.000 0.000
2 Al 0.000 0.000 0.487
3 Al 0.500 0.500 0.724
4 Ag 0.500 0.500 0.260

***

7.
Computed, not measured: a relaxed MgAl2Ag3 crystal at the PBE level of DFT.

distance to the lowest polymorph of the same formula	0.00	eV per formula unit
DOS at the Fermi energy	1.03	states/eV/f.u.

a = 3.325 Å, b = 3.325 Å, c = 9.391 Å
α = 90.00°, β = 90.00°, γ = 90.00°
Fractional positions:
1 Mg 0.000 0.000 0.000
2 Al 0.000 0.000 0.339
3 Al 0.000 0.000 0.661
4 Ag 0.500 0.500 0.178
5 Ag 0.500 0.500 0.500
6 Ag 0.500 0.500 0.822

***

8.
Computed, not measured: a relaxed Mg6AlAg crystal at the PBE level of DFT.

distance to the lowest polymorph of the same formula	1.10	eV per formula unit
DOS at the Fermi energy	3.42	states/eV/f.u.

a = 5.025 Å, b = 5.025 Å, c = 8.421 Å
α = 90.43°, β = 90.43°, γ = 119.80°
Fractional positions:
1 Mg 0.009 0.009 0.168
2 Mg 0.320 0.649 0.682
3 Mg 0.351 0.680 0.318
4 Mg 0.649 0.320 0.682
5 Mg 0.680 0.351 0.318
6 Mg 0.991 0.991 0.832
7 Al 0.000 0.000 0.500
8 Ag 0.500 0.500 0.000